Entry 1:
This record from Alexandria via LeMat-Bulk describes Ho6AsC3 after structural relaxation. The functional is PBE.

abc: 10.3669 3.6721 12.3239
angles: 90.00 113.92 90.00
Last column: nearest neighbours and their distance in Å.
Space group P2_1/m (No. 11)
Unique sites:
Ho1 0.0207 0.2500 0.2560  3 C 2.41-2.45
Ho2 0.1431 0.7500 0.5750  3 C 2.36-2.55
Ho3 0.1832 0.7500 0.0930  3 C 2.46-2.48
Ho4 0.3318 0.7500 0.3923  2 C 2.51
Ho5 0.3489 0.2500 0.9258  3 C 2.45-2.50
Ho6 0.4771 0.2500 0.2241  3 C 2.46-2.53
As1 0.3730 0.2500 0.5849  7 Ho 2.89-2.97
C1 0.0086 0.2500 0.6288  5 Ho 2.36-2.55
C2 0.2486 0.2500 0.2404  6 Ho 2.45-2.51
C3 0.4078 0.7500 0.0697  6 Ho 2.45-2.53

**Crystal system**: monoclinic
**E_tot**: -6.482 eV/atom
**ΔH_f (0 K)**: -503 meV/atom

=====

Entry 2:
This record from Alexandria via LeMat-Bulk describes BaZrFe2 after structural relaxation. The functional is PBE.

abc: 3.5361 4.2129 13.1444
angles: 90.00 90.00 90.00
Last column: nearest neighbours and their distance in Å.
Space group Imm2 (No. 44)
Unique sites:
Ba1 0.0000 0.0000 0.0000  4 Fe 3.32, 2 Ba 3.54
Zr1 0.0000 0.5000 0.2356  6 Fe 2.66-2.76
Fe1 0.0000 0.0000 0.3587  2 Fe 2.26
Fe2 0.0000 0.5000 0.7511  2 Fe 2.26

**Crystal system**: orthorhombic
**E_tot**: -6.431 eV/atom
**ΔH_f (0 K)**: 418 meV/atom

=====

Entry 3:
This record from Alexandria via LeMat-Bulk describes Li2SnCl after structural relaxation. The functional is PBE.

abc: 7.1025 7.1025 7.1025
angles: 90.00 90.00 90.00
Last column: nearest neighbours and their distance in Å.
Space group Fm-3m (No. 225)
Unique sites:
Li1 0.2500 0.2500 0.2500  4 Cl 3.08, 4 Sn 3.08
Sn1 0.0000 0.0000 0.0000  8 Li 3.08
Cl1 0.0000 0.0000 0.5000  8 Li 3.08

**Crystal system**: cubic
**E_tot**: -2.683 eV/atom
**ΔE_f (raw)**: -264 meV per atom

=====

Entry 4:
This record from Alexandria via LeMat-Bulk describes CeSm2Dy4Ho after structural relaxation. The functional is PBE.

abc: 6.1550 3.5588 11.7877
angles: 90.00 100.14 90.00
Last column: nearest neighbours and their distance in Å.
Space group P2/m (No. 10)
Unique sites:
Ce1 0.0000 0.0000 0.0000  6 Dy 3.51-3.52, 4 Ho 3.55, 2 Ce 3.56
Sm1 0.0000 0.5000 0.5000  6 Sm 3.55-3.56, 6 Dy 3.57-3.58
Sm2 0.5000 0.0000 0.5000  6 Sm 3.55-3.56, 6 Dy 3.59
Dy1 0.2453 0.5000 0.2462  2 Ce 3.51, 6 Dy 3.52-3.59, 1 Ho 3.53, 3 Sm 3.58-3.59
Dy2 0.2484 0.0000 0.7526  1 Ce 3.52, 6 Dy 3.52-3.59, 2 Ho 3.53, 3 Sm 3.57-3.59
Ho1 0.5000 0.5000 0.0000  6 Dy 3.53, 4 Ce 3.55, 2 Ho 3.56

**Crystal system**: monoclinic
**E_tot**: -4.756 eV/atom
**ΔH_f (0 K)**: 39 meV/atom

=====

Entry 5:
This record from Alexandria via LeMat-Bulk describes Tb2Pr4HoTm2 after structural relaxation. The functional is PBE.

abc: 15.3525 5.1079 8.0504
angles: 90.00 108.48 90.00
Last column: nearest neighbours and their distance in Å.
Space group C2/m (No. 12)
Unique sites:
Tb1 0.1116 0.0000 0.1709  3 Tm 3.58, 1 Ho 3.58, 7 Pr 3.60-3.66, 1 Tb 3.65
Pr1 0.0536 0.5000 0.8297  2 Tm 3.59-3.61, 2 Ho 3.59, 4 Tb 3.60-3.65, 4 Pr 3.62-3.65
Pr2 0.2228 0.0000 0.8303  3 Tm 3.57-3.59, 1 Ho 3.61, 3 Tb 3.61-3.66, 5 Pr 3.64-3.65
Ho1 0.0000 0.0000 0.5000  2 Tb 3.58, 6 Pr 3.59-3.61, 4 Tm 3.63
Tm1 0.1675 0.5000 0.4996  5 Pr 3.57-3.61, 3 Tb 3.58, 2 Tm 3.59, 2 Ho 3.63

**Crystal system**: monoclinic
**E_tot**: -4.630 eV/atom
**ΔH_f (0 K)**: 25 meV/atom

=====

Entry 6:
This record from Alexandria via LeMat-Bulk describes Cs2Rb8Hg3 after structural relaxation. The functional is PBE.

abc: 12.8140 6.2648 14.1738
angles: 90.00 116.70 90.00
Last column: nearest neighbours and their distance in Å.
Space group P2/m (No. 10)
Unique sites:
Cs1 0.2494 0.0000 0.4977  8 Rb 5.15-5.25
Rb1 0.0869 0.5000 0.1737  4 Hg 3.83-3.89
Rb2 0.1592 0.0000 0.8236  3 Hg 3.85-3.87
Rb3 0.3354 0.0000 0.1758  3 Hg 3.84-3.88
Rb4 0.4139 0.5000 0.8273  2 Hg 3.88-3.89
Hg1 0.0000 0.0000 0.0000  8 Rb 3.83-3.88
Hg2 0.2496 0.5000 0.9997  8 Rb 3.84-3.89

**Crystal system**: monoclinic
**E_tot**: -0.854 eV/atom
**ΔH_f (0 K)**: -58 meV/atom

=====

Entry 7:
This record from Alexandria via LeMat-Bulk describes Rb3ZnMo after structural relaxation. The functional is PBE.

abc: 6.7175 6.7175 6.7175
angles: 90.00 90.00 90.00
Last column: nearest neighbours and their distance in Å.
Space group Pm-3m (No. 221)
Unique sites:
Rb1 0.0000 0.0000 0.5000  2 Zn 3.36
Zn1 0.0000 0.0000 0.0000  6 Rb 3.36
Mo1 0.5000 0.5000 0.5000  12 Rb 4.75

**Crystal system**: cubic
**E_tot**: -1.826 eV/atom
**ΔH_f (0 K)**: 1175 meV/atom

=====

Entry 8:
This record from Alexandria via LeMat-Bulk describes BeCu2Tc after structural relaxation. The functional is PBE.

abc: 2.5996 2.5996 24.6390
angles: 90.00 90.00 120.00
Last column: nearest neighbours and their distance in Å.
Space group R-3m (No. 166, hexagonal axes)
Unique sites:
Be1 0.0000 0.0000 0.0000  6 Cu 2.38, 6 Be 2.60
Cu1 0.0000 0.0000 0.2584  3 Be 2.38, 6 Cu 2.60
Tc1 0.0000 0.0000 0.5000  6 Tc 2.60, 6 Cu 2.71

**Crystal system**: trigonal
**E_tot**: -5.373 eV/atom
**ΔH_f (0 K)**: 198 meV/atom

=====

Entry 9:
This record from Alexandria via LeMat-Bulk describes Hf4HgPd after structural relaxation. The functional is PBE.

abc: 3.2588 3.2588 11.7022
angles: 90.00 90.00 90.00
Last column: nearest neighbours and their distance in Å.
Space group P4/mmm (No. 123)
Unique sites:
Hf1 0.0000 0.0000 0.1504  4 Pd 2.90, 4 Hf 3.07
Hf2 0.5000 0.5000 0.3239  8 Hf 3.07-3.26, 4 Hg 3.09
Hg1 0.0000 0.0000 0.5000  8 Hf 3.09, 4 Hg 3.26
Pd1 0.5000 0.5000 0.0000  8 Hf 2.90

**Crystal system**: tetragonal
**E_tot**: -7.884 eV/atom
**ΔH_f (0 K)**: -333 meV/atom

=====

| no. | DOS at the Fermi energy (states/eV/f.u.) | magnetic moment (μB/cell) |
| --- | --- | --- |
| 1 | 5.8 | 2.741 |
| 2 | 4.0 | 6.617 |
| 3 | 4.9 | 4.961 |
| 4 | 13.4 | 0.805 |
| 5 | 14.1 | 0.000 |
| 6 | 9.8 | 0.000 |
| 7 | 3.9 | 5.454 |
| 8 | 4.2 | 0.575 |
| 9 | 3.6 | 0.000 |